(1)
## CePr2Hg (PBE-GGA)

Data for an optimized crystal structure of CePr2Hg.

Computed properties:
Calculated formation energy (meV/atom): -188
Theoretical density (g/cm³): 8.491
D(E_F) (states/eV/cell): 5.25
Magnetic moment (μB per formula unit): 0.33

```
data_CePr2Hg
_chemical_formula_sum 'Ce1 Pr2 Hg1'
_space_group_name_H-M_alt 'P 4/m m m'
_space_group_IT_number 123
_space_group_name_Hall '-P 4 2'
_cell_length_a 3.7153
_cell_length_b 3.7153
_cell_length_c 8.8193
_cell_angle_alpha 90.00
_cell_angle_beta 90.00
_cell_angle_gamma 90.00
loop_
_atom_site_label
_atom_site_fract_x
_atom_site_fract_y
_atom_site_fract_z
Ce1 0.0000 0.0000 0.0000
Pr1 0.5000 0.5000 0.2671
Hg1 0.0000 0.0000 0.5000
```

(2)
## LiSiH2 (PBE-GGA)

Data for an optimized crystal structure of LiSiH2.

Computed properties:
Theoretical density (g/cm³): 1.514
D(E_F) (states/eV/cell): 3.47
VASP energy (eV/atom): -3.241
Magnetic moment (μB per formula unit): 0.00

```
data_LiSiH2
_chemical_formula_sum 'Li4 Si4 H8'
_space_group_name_H-M_alt 'I -4 2 d'
_space_group_IT_number 122
_space_group_name_Hall 'I -4 2bw'
_cell_length_a 3.9194
_cell_length_b 3.9194
_cell_length_c 10.5794
_cell_angle_alpha 90.00
_cell_angle_beta 90.00
_cell_angle_gamma 90.00
loop_
_atom_site_label
_atom_site_fract_x
_atom_site_fract_y
_atom_site_fract_z
Li1 0.0000 0.0000 0.0000
Si1 0.0000 0.0000 0.5000
H1 0.1684 0.2500 0.6250
```

(3)
## TaOsW2 (PBE-GGA)

Data for an optimized crystal structure of TaOsW2.

Computed properties:
Calculated formation energy (meV/atom): 60
Theoretical density (g/cm³): 18.956
D(E_F) (states/eV/cell): 9.06
Magnetic moment (μB per formula unit): 0.02

```
data_TaOsW2
_chemical_formula_sum 'Ta2 Os2 W4'
_space_group_name_H-M_alt 'C m m 2'
_space_group_IT_number 35
_space_group_name_Hall 'C 2 -2'
_cell_length_a 3.1767
_cell_length_b 4.5535
_cell_length_c 8.9491
_cell_angle_alpha 90.00
_cell_angle_beta 90.00
_cell_angle_gamma 90.00
loop_
_atom_site_label
_atom_site_fract_x
_atom_site_fract_y
_atom_site_fract_z
Ta1 0.0000 0.0000 0.0000
Os1 0.0000 0.5000 0.7514
W1 0.0000 0.0000 0.5074
W2 0.0000 0.5000 0.2585
```

(4)
## VAg2I (PBE-GGA)

Data for an optimized crystal structure of VAg2I.

Computed properties:
Theoretical density (g/cm³): 7.364
D(E_F) (states/eV/cell): 20.76
Magnetic moment (μB per formula unit): 3.56
Uncorrected formation energy (meV per atom): 807

```
data_VAg2I
_chemical_formula_sum 'V4 Ag8 I4'
_space_group_name_H-M_alt 'F m -3 m'
_space_group_IT_number 225
_space_group_name_Hall '-F 4 2 3'
_cell_length_a 7.0808
_cell_length_b 7.0808
_cell_length_c 7.0808
_cell_angle_alpha 90.00
_cell_angle_beta 90.00
_cell_angle_gamma 90.00
loop_
_atom_site_label
_atom_site_fract_x
_atom_site_fract_y
_atom_site_fract_z
V1 0.0000 0.0000 0.0000
Ag1 0.2500 0.2500 0.2500
I1 0.0000 0.0000 0.5000
```

(5)
## Cs2Cd2F (PBE-GGA)

Data for an optimized crystal structure of Cs2Cd2F.

Computed properties:
Theoretical density (g/cm³): 3.066
D(E_F) (states/eV/cell): 6.83
Magnetic moment (μB per formula unit): 0.00
Uncorrected formation energy (meV per atom): -615

```
data_Cs2Cd2F
_chemical_formula_sum 'Cs4 Cd4 F2'
_space_group_name_H-M_alt 'I 4/m m m'
_space_group_IT_number 139
_space_group_name_Hall '-I 4 2'
_cell_length_a 7.7470
_cell_length_b 7.7470
_cell_length_c 9.1997
_cell_angle_alpha 90.00
_cell_angle_beta 90.00
_cell_angle_gamma 90.00
loop_
_atom_site_label
_atom_site_fract_x
_atom_site_fract_y
_atom_site_fract_z
Cs1 0.0000 0.5000 0.2500
Cd1 0.0000 0.0000 0.2406
F1 0.0000 0.0000 0.5000
```

(6)
## Ba3Pa2Se2S5 (PBE-GGA)

Data for an optimized crystal structure of Ba3Pa2Se2S5.

Computed properties:
Theoretical density (g/cm³): 5.285
D(E_F) (states/eV/cell): 22.57
Magnetic moment (μB per formula unit): 1.97
Uncorrected formation energy (meV per atom): -1814

```
data_Ba3Pa2Se2S5
_chemical_formula_sum 'Ba6 Pa4 Se4 S10'
_space_group_name_H-M_alt 'I 4/m m m'
_space_group_IT_number 139
_space_group_name_Hall '-I 4 2'
_cell_length_a 5.2822
_cell_length_b 5.2822
_cell_length_c 26.8501
_cell_angle_alpha 90.00
_cell_angle_beta 90.00
_cell_angle_gamma 90.00
loop_
_atom_site_label
_atom_site_fract_x
_atom_site_fract_y
_atom_site_fract_z
Ba1 0.0000 0.0000 0.0000
Ba2 0.0000 0.0000 0.1769
Pa1 0.0000 0.0000 0.4012
Se1 0.0000 0.0000 0.2976
S1 0.0000 0.0000 0.5000
S2 0.0000 0.5000 0.0951
```

(7)
## Pm12Nd6Dy (PBE-GGA)

Data for an optimized crystal structure of Pm12Nd6Dy.

Computed properties:
Calculated formation energy (meV/atom): 131
Theoretical density (g/cm³): 6.904
D(E_F) (states/eV/cell): 90.71
Magnetic moment (μB per formula unit): 0.00

```
data_Pm12Nd6Dy
_chemical_formula_sum 'Pm36 Nd18 Dy3'
_space_group_name_H-M_alt 'R -3'
_space_group_IT_number 148
_space_group_name_Hall '-R 3'
_cell_length_a 12.2711
_cell_length_b 12.2711
_cell_length_c 15.3162
_cell_angle_alpha 90.00
_cell_angle_beta 90.00
_cell_angle_gamma 120.00
loop_
_atom_site_label
_atom_site_fract_x
_atom_site_fract_y
_atom_site_fract_z
Pm1 0.0037 0.8309 0.1902
Pm2 0.0477 0.8523 0.4166
Nd1 0.0130 0.4226 0.6849
Dy1 0.0000 0.0000 0.0000
```

(8)
## Er17Tm2 (PBE-GGA)

Data for an optimized crystal structure of Er17Tm2.

Computed properties:
Calculated formation energy (meV/atom): 300
Theoretical density (g/cm³): 8.700
D(E_F) (states/eV/cell): 95.36
Magnetic moment (μB per formula unit): 0.00

```
data_Er17Tm2
_chemical_formula_sum 'Er51 Tm6'
_space_group_name_H-M_alt 'R -3 m'
_space_group_IT_number 166
_space_group_name_Hall '-R 3 2"'
_cell_length_a 10.9768
_cell_length_b 10.9768
_cell_length_c 17.4563
_cell_angle_alpha 90.00
_cell_angle_beta 90.00
_cell_angle_gamma 120.00
loop_
_atom_site_label
_atom_site_fract_x
_atom_site_fract_y
_atom_site_fract_z
Er1 0.0000 0.0000 0.0971
Er2 0.0000 0.3002 0.0000
Er3 0.0000 0.5000 0.5000
Er4 0.0125 0.5062 0.1357
Tm1 0.0000 0.0000 0.3210
```

(9)
## Pm2Er2AlGa4 (PBE-GGA)

Data for an optimized crystal structure of Pm2Er2AlGa4.

Computed properties:
Calculated formation energy (meV/atom): -217
Theoretical density (g/cm³): 7.004
D(E_F) (states/eV/cell): 11.40
Magnetic moment (μB per formula unit): 0.00

```
data_Pm2Er2AlGa4
_chemical_formula_sum 'Pm4 Er4 Al2 Ga8'
_space_group_name_H-M_alt 'I 4/m m m'
_space_group_IT_number 139
_space_group_name_Hall '-I 4 2'
_cell_length_a 7.0147
_cell_length_b 7.0147
_cell_length_c 8.9659
_cell_angle_alpha 90.00
_cell_angle_beta 90.00
_cell_angle_gamma 90.00
loop_
_atom_site_label
_atom_site_fract_x
_atom_site_fract_y
_atom_site_fract_z
Pm1 0.0000 0.0000 0.1900
Er1 0.0000 0.5000 0.2500
Al1 0.0000 0.0000 0.5000
Ga1 0.2480 0.2480 0.5000
```

(10)
## MgPd3N (PBE-GGA)

Data for an optimized crystal structure of MgPd3N.

Computed properties:
Theoretical density (g/cm³): 5.601
D(E_F) (states/eV/cell): 1.85
Magnetic moment (μB per formula unit): 2.92
Uncorrected formation energy (meV per atom): 1672

```
data_MgPd3N
_chemical_formula_sum 'Mg1 Pd3 N1'
_space_group_name_H-M_alt 'P m -3 m'
_space_group_IT_number 221
_space_group_name_Hall '-P 4 2 3'
_cell_length_a 4.7327
_cell_length_b 4.7327
_cell_length_c 4.7327
_cell_angle_alpha 90.00
_cell_angle_beta 90.00
_cell_angle_gamma 90.00
loop_
_atom_site_label
_atom_site_fract_x
_atom_site_fract_y
_atom_site_fract_z
Mg1 0.0000 0.0000 0.0000
Pd1 0.0000 0.0000 0.5000
N1 0.5000 0.5000 0.5000
```

(11)
## Mn2NiN (PBE-GGA)

Data for an optimized crystal structure of Mn2NiN.

Computed properties:
Theoretical density (g/cm³): 6.968
D(E_F) (states/eV/cell): 12.14
Magnetic moment (μB per formula unit): 4.69
Uncorrected formation energy (meV per atom): 110

```
data_Mn2NiN
_chemical_formula_sum 'Mn8 Ni4 N4'
_space_group_name_H-M_alt 'I -4 2 d'
_space_group_IT_number 122
_space_group_name_Hall 'I -4 2bw'
_cell_length_a 6.3455
_cell_length_b 6.3455
_cell_length_c 4.3223
_cell_angle_alpha 90.00
_cell_angle_beta 90.00
_cell_angle_gamma 90.00
loop_
_atom_site_label
_atom_site_fract_x
_atom_site_fract_y
_atom_site_fract_z
Mn1 0.1318 0.2500 0.1250
Ni1 0.0000 0.0000 0.5000
N1 0.0000 0.0000 0.0000
```

(12)
## LiTlNi2 (PBE-GGA)

Data for an optimized crystal structure of LiTlNi2.

Computed properties:
Calculated formation energy (meV/atom): 221
Theoretical density (g/cm³): 9.295
D(E_F) (states/eV/cell): 6.96
Magnetic moment (μB per formula unit): 0.00

```
data_LiTlNi2
_chemical_formula_sum 'Li2 Tl2 Ni4'
_space_group_name_H-M_alt 'C 1 2/m 1'
_space_group_IT_number 12
_space_group_name_Hall '-C 2y'
_cell_length_a 5.2902
_cell_length_b 8.7528
_cell_length_c 2.8427
_cell_angle_alpha 90.00
_cell_angle_beta 116.84
_cell_angle_gamma 90.00
loop_
_atom_site_label
_atom_site_fract_x
_atom_site_fract_y
_atom_site_fract_z
Li1 0.0000 0.0000 0.0000
Tl1 0.0000 0.5000 0.0000
Ni1 0.2500 0.2500 0.5000
```

(13)
## ZrSbW (PBE-GGA)

Data for an optimized crystal structure of ZrSbW.

Computed properties:
Theoretical density (g/cm³): 9.445
D(E_F) (states/eV/cell): 16.94
Magnetic moment (μB per formula unit): 0.00
Uncorrected formation energy (meV per atom): 477

```
data_ZrSbW
_chemical_formula_sum 'Zr4 Sb4 W4'
_space_group_name_H-M_alt 'F -4 3 m'
_space_group_IT_number 216
_space_group_name_Hall 'F -4 2 3'
_cell_length_a 6.5347
_cell_length_b 6.5347
_cell_length_c 6.5347
_cell_angle_alpha 90.00
_cell_angle_beta 90.00
_cell_angle_gamma 90.00
loop_
_atom_site_label
_atom_site_fract_x
_atom_site_fract_y
_atom_site_fract_z
Zr1 0.0000 0.0000 0.0000
Sb1 0.0000 0.0000 0.5000
W1 0.2500 0.2500 0.7500
```